# KMgTaPt, optimized geometry, DFT PBE
data_KMgTaPt
_cell_length_a 6.996
_cell_length_b 6.996
_cell_length_c 6.996
_cell_angle_alpha 90.00
_cell_angle_beta 90.00
_cell_angle_gamma 90.00
_symmetry_space_group_name_H-M 'F -4 3 m'
_symmetry_Int_Tables_number 216
_symmetry_space_group_name_Hall 'F -4 2 3'
loop_
_atom_site_label
_atom_site_fract_x
_atom_site_fract_y
_atom_site_fract_z
_atom_site_occupancy
K1 0.000 0.000 0.000 1
Mg1 0.000 0.000 0.500 1
Ta1 0.250 0.250 0.250 1
Pt1 0.250 0.250 0.750 1
# VASP energy (eV/atom): -4.05
# Magnetic moment (μB per atom): 0.739
# V (Å³/cell): 342.35


# KSmMgS3, optimized geometry, DFT PBE
data_KSmMgS3
_cell_length_a 8.245
_cell_length_b 4.165
_cell_length_c 10.290
_cell_angle_alpha 90.00
_cell_angle_beta 107.12
_cell_angle_gamma 90.00
_symmetry_space_group_name_H-M 'P 1 21/m 1'
_symmetry_Int_Tables_number 11
_symmetry_space_group_name_Hall '-P 2yb'
loop_
_atom_site_label
_atom_site_fract_x
_atom_site_fract_y
_atom_site_fract_z
_atom_site_occupancy
K1 0.248 0.250 0.233 1
Sm1 0.189 0.750 0.628 1
Mg1 0.417 0.250 0.892 1
S1 0.034 0.750 0.354 1
S2 0.291 0.750 0.944 1
S3 0.427 0.250 0.661 1
# VASP energy (eV/atom): -4.94
# Magnetic moment (μB per atom): 0.000
# V (Å³/cell): 337.70


# KSmMgS3, optimized geometry, DFT PBE
data_KSmMgS3
_cell_length_a 11.033
_cell_length_b 4.146
_cell_length_c 14.290
_cell_angle_alpha 90.00
_cell_angle_beta 90.00
_cell_angle_gamma 90.00
_symmetry_space_group_name_H-M 'P n m a'
_symmetry_Int_Tables_number 62
_symmetry_space_group_name_Hall '-P 2ac 2n'
loop_
_atom_site_label
_atom_site_fract_x
_atom_site_fract_y
_atom_site_fract_z
_atom_site_occupancy
K1 0.223 0.250 0.007 1
Sm1 0.014 0.750 0.259 1
Mg1 0.235 0.750 0.783 1
S1 0.046 0.750 0.867 1
S2 0.086 0.250 0.377 1
S3 0.238 0.250 0.687 1
# VASP energy (eV/atom): -4.95
# Magnetic moment (μB per atom): 0.000
# V (Å³/cell): 653.65


# KSmMgS3, optimized geometry, DFT PBE
data_KSmMgS3
_cell_length_a 4.146
_cell_length_b 14.296
_cell_length_c 11.007
_cell_angle_alpha 90.00
_cell_angle_beta 90.00
_cell_angle_gamma 90.00
_symmetry_space_group_name_H-M 'C m c m'
_symmetry_Int_Tables_number 63
_symmetry_space_group_name_Hall '-C 2c 2'
loop_
_atom_site_label
_atom_site_fract_x
_atom_site_fract_y
_atom_site_fract_z
_atom_site_occupancy
K1 0.000 0.245 0.250 1
Sm1 0.000 0.500 0.000 1
Mg1 0.000 0.033 0.750 1
S1 0.000 0.123 0.566 1
S2 0.000 0.437 0.750 1
# VASP energy (eV/atom): -4.94
# Magnetic moment (μB per atom): 0.000
# V (Å³/cell): 652.44


# KMgTaS3, optimized geometry, DFT PBE
data_KMgTaS3
_cell_length_a 3.682
_cell_length_b 14.601
_cell_length_c 9.924
_cell_angle_alpha 90.00
_cell_angle_beta 90.00
_cell_angle_gamma 90.00
_symmetry_space_group_name_H-M 'C m c m'
_symmetry_Int_Tables_number 63
_symmetry_space_group_name_Hall '-C 2c 2'
loop_
_atom_site_label
_atom_site_fract_x
_atom_site_fract_y
_atom_site_fract_z
_atom_site_occupancy
K1 0.000 0.241 0.250 1
Mg1 0.000 0.041 0.750 1
Ta1 0.000 0.500 0.000 1
S1 0.000 0.120 0.541 1
S2 0.000 0.437 0.750 1
# VASP energy (eV/atom): -5.45
# Magnetic moment (μB per atom): 0.237
# V (Å³/cell): 533.50


# KTmMgS3, optimized geometry, DFT PBE
data_KTmMgS3
_cell_length_a 8.601
_cell_length_b 4.058
_cell_length_c 9.685
_cell_angle_alpha 90.00
_cell_angle_beta 107.64
_cell_angle_gamma 90.00
_symmetry_space_group_name_H-M 'P 1 21/m 1'
_symmetry_Int_Tables_number 11
_symmetry_space_group_name_Hall '-P 2yb'
loop_
_atom_site_label
_atom_site_fract_x
_atom_site_fract_y
_atom_site_fract_z
_atom_site_occupancy
K1 0.212 0.250 0.225 1
Tm1 0.332 0.750 0.867 1
Mg1 0.086 0.250 0.611 1
S1 0.116 0.250 0.864 1
S2 0.204 0.750 0.547 1
S3 0.466 0.750 0.151 1
# VASP energy (eV/atom): -4.92
# Magnetic moment (μB per atom): 0.001
# V (Å³/cell): 322.10


# KTmMgS3, optimized geometry, DFT PBE
data_KTmMgS3
_cell_length_a 10.648
_cell_length_b 4.041
_cell_length_c 14.339
_cell_angle_alpha 90.00
_cell_angle_beta 90.00
_cell_angle_gamma 90.00
_symmetry_space_group_name_H-M 'P n m a'
_symmetry_Int_Tables_number 62
_symmetry_space_group_name_Hall '-P 2ac 2n'
loop_
_atom_site_label
_atom_site_fract_x
_atom_site_fract_y
_atom_site_fract_z
_atom_site_occupancy
K1 0.233 0.250 0.006 1
Tm1 0.015 0.750 0.254 1
Mg1 0.235 0.750 0.783 1
S1 0.042 0.750 0.867 1
S2 0.075 0.250 0.372 1
S3 0.236 0.250 0.687 1
# VASP energy (eV/atom): -4.92
# Magnetic moment (μB per atom): 0.000
# V (Å³/cell): 616.97


# KTmMgS3, optimized geometry, DFT PBE
data_KTmMgS3
_cell_length_a 4.040
_cell_length_b 14.359
_cell_length_c 10.631
_cell_angle_alpha 90.00
_cell_angle_beta 90.00
_cell_angle_gamma 90.00
_symmetry_space_group_name_H-M 'C m c m'
_symmetry_Int_Tables_number 63
_symmetry_space_group_name_Hall '-C 2c 2'
loop_
_atom_site_label
_atom_site_fract_x
_atom_site_fract_y
_atom_site_fract_z
_atom_site_occupancy
K1 0.000 0.243 0.250 1
Tm1 0.000 0.500 0.000 1
Mg1 0.000 0.034 0.750 1
S1 0.000 0.120 0.558 1
S2 0.000 0.437 0.750 1
# VASP energy (eV/atom): -4.92
# Magnetic moment (μB per atom): 0.002
# V (Å³/cell): 616.66


# KSmMgSe3, optimized geometry, DFT PBE
data_KSmMgSe3
_cell_length_a 9.095
_cell_length_b 4.315
_cell_length_c 10.160
_cell_angle_alpha 90.00
_cell_angle_beta 106.45
_cell_angle_gamma 90.00
_symmetry_space_group_name_H-M 'P 1 21/m 1'
_symmetry_Int_Tables_number 11
_symmetry_space_group_name_Hall '-P 2yb'
loop_
_atom_site_label
_atom_site_fract_x
_atom_site_fract_y
_atom_site_fract_z
_atom_site_occupancy
K1 0.207 0.250 0.227 1
Sm1 0.329 0.750 0.864 1
Mg1 0.084 0.250 0.608 1
Se1 0.105 0.250 0.862 1
Se2 0.204 0.750 0.540 1
Se3 0.460 0.750 0.157 1
# VASP energy (eV/atom): -4.52
# Magnetic moment (μB per atom): 0.000
# V (Å³/cell): 382.40


# KTbMgSe3, optimized geometry, DFT PBE
data_KTbMgSe3
_cell_length_a 9.069
_cell_length_b 4.261
_cell_length_c 10.019
_cell_angle_alpha 90.00
_cell_angle_beta 106.76
_cell_angle_gamma 90.00
_symmetry_space_group_name_H-M 'P 1 21/m 1'
_symmetry_Int_Tables_number 11
_symmetry_space_group_name_Hall '-P 2yb'
loop_
_atom_site_label
_atom_site_fract_x
_atom_site_fract_y
_atom_site_fract_z
_atom_site_occupancy
K1 0.203 0.250 0.224 1
Tb1 0.333 0.750 0.865 1
Mg1 0.086 0.250 0.609 1
Se1 0.113 0.250 0.867 1
Se2 0.207 0.750 0.539 1
Se3 0.461 0.750 0.158 1
# VASP energy (eV/atom): -4.51
# Magnetic moment (μB per atom): 0.001
# V (Å³/cell): 370.70


# KMgZrSe3, optimized geometry, DFT PBE
data_KMgZrSe3
_cell_length_a 8.284
_cell_length_b 4.047
_cell_length_c 10.797
_cell_angle_alpha 90.00
_cell_angle_beta 112.40
_cell_angle_gamma 90.00
_symmetry_space_group_name_H-M 'P 1 21/m 1'
_symmetry_Int_Tables_number 11
_symmetry_space_group_name_Hall '-P 2yb'
loop_
_atom_site_label
_atom_site_fract_x
_atom_site_fract_y
_atom_site_fract_z
_atom_site_occupancy
K1 0.037 0.250 0.287 1
Mg1 0.478 0.750 0.384 1
Zr1 0.470 0.250 0.121 1
Se1 0.252 0.750 0.150 1
Se2 0.297 0.250 0.856 1
Se3 0.319 0.750 0.559 1
# VASP energy (eV/atom): -4.87
# Magnetic moment (μB per atom): 0.158
# V (Å³/cell): 334.63


# KSmMg, optimized geometry, DFT PBE
data_KSmMg
_cell_length_a 8.061
_cell_length_b 8.061
_cell_length_c 8.061
_cell_angle_alpha 90.00
_cell_angle_beta 90.00
_cell_angle_gamma 90.00
_symmetry_space_group_name_H-M 'F -4 3 m'
_symmetry_Int_Tables_number 216
_symmetry_space_group_name_Hall 'F -4 2 3'
loop_
_atom_site_label
_atom_site_fract_x
_atom_site_fract_y
_atom_site_fract_z
_atom_site_occupancy
K1 0.000 0.000 0.000 1
Sm1 0.250 0.250 0.250 1
Mg1 0.000 0.000 0.500 1
# VASP energy (eV/atom): -1.60
# Magnetic moment (μB per atom): 0.317
# V (Å³/cell): 523.74